No. 1
Ca2PrEr: optimized geometry, PBE-GGA.

total magnetic moment = 0.001 μB/atom
SG = Pm
D(E_F) = 6.1 states/eV/f.u.
energy relative to the lowest polymorph listed for this composition = 0.0 meV/atom

a = 3.7000 Å, b = 6.3696 Å, c = 8.8472 Å
α = 43.97°, β = 89.81°, γ = 89.73°
Sites, in units of the cell vectors:
Pr (0.1762, 0.7742, 0.1847)
Ca (0.6740, 0.4408, 0.6847)
Er (0.6758, 0.2739, 0.1848)
Ca (0.1729, 0.9370, 0.6846)

No. 2
CaPr12Er2: optimized geometry, PBE-GGA.

total energy = -4.42 eV per atom
total magnetic moment = 0.000 μB/atom
SG = Cmme
D(E_F) = 20.9 states/eV/f.u.

a = 6.9126 Å, b = 6.9126 Å, c = 25.6290 Å
α = 90.00°, β = 90.00°, γ = 116.85°
Sites, in units of the cell vectors:
Pr (0.2743, 0.2257, 0.5593)
Pr (0.2696, 0.7696, 0.4157)
Pr (0.2512, 0.2488, 0.0812)
Pr (0.2304, 0.7304, 0.5843)
Pr (0.7512, 0.7488, 0.9188)
Pr (0.0000, 0.0000, 0.6730)
Pr (0.7486, 0.2486, 0.8612)
Pr (0.2257, 0.2743, 0.4407)
Pr (0.2514, 0.7514, 0.8612)
Pr (0.7743, 0.7257, 0.4407)
Er (0.0000, 0.5000, 0.2741)
Pr (0.7696, 0.2696, 0.5843)
Pr (0.2488, 0.2512, 0.9188)
Er (0.0000, 0.5000, 0.7291)
Pr (0.7304, 0.2304, 0.4157)
Ca (0.5000, 0.0000, 0.9995)
Pr (0.2486, 0.7486, 0.1388)
Pr (0.0000, 0.0000, 0.3270)
Er (0.5000, 0.0000, 0.2709)
Pr (0.5000, 0.5000, 0.7969)
Pr (0.7488, 0.7512, 0.0812)
Pr (0.5000, 0.5000, 0.6730)
Pr (0.0000, 0.0000, 0.2031)
Pr (0.7514, 0.2514, 0.1388)
Pr (0.5000, 0.5000, 0.3270)
Pr (0.0000, 0.0000, 0.7969)
Ca (0.0000, 0.5000, 0.0005)
Pr (0.7257, 0.7743, 0.5593)
Er (0.5000, 0.0000, 0.7259)
Pr (0.5000, 0.5000, 0.2031)

No. 3
CaPr2Er2: optimized geometry, PBE-GGA.

total energy = -4.11 eV per atom
total magnetic moment = 0.000 μB/atom
SG = Cmmm
D(E_F) = 5.9 states/eV/f.u.

a = 5.5745 Å, b = 3.5767 Å, c = 9.3006 Å
α = 90.02°, β = 107.44°, γ = 90.00°
Sites, in units of the cell vectors:
Pr (0.3773, 0.0002, 0.7546)
Er (0.2011, 0.4998, 0.4021)
Ca (0.0000, 0.5000, 0.0000)
Pr (0.6227, 0.9998, 0.2454)
Er (0.7989, 0.5002, 0.5979)

- What is the formula in the third record?
  CaPr2Er2